Version w
! Li2HfAu, optimized geometry, DFT PBE; values from VASP
! Total magnetic moment ... 0.00 μB per formula unit
&SYSTEM
  ibrav = 0, nat = 4, ntyp = 3
/
ATOMIC_SPECIES
Li 6.94 Li.upf
Hf 178.49 Hf.upf
Au 196.97 Au.upf
CELL_PARAMETERS angstrom
1.464 0.845 10.079
-1.464 0.845 10.079
0.000 -1.690 10.079
ATOMIC_POSITIONS crystal
Li 0.096 0.096 0.096
Li 0.904 0.904 0.904
Hf 0.000 0.000 0.000
Au 0.500 0.500 0.500



Version x
! Li2HfAu, optimized geometry, DFT PBE; values from VASP
! Total magnetic moment ... 0.00 μB per formula unit
&SYSTEM
  ibrav = 0, nat = 8, ntyp = 3
/
ATOMIC_SPECIES
Li 6.94 Li.upf
Hf 178.49 Hf.upf
Au 196.97 Au.upf
CELL_PARAMETERS angstrom
-3.710 3.710 2.716
3.710 -3.710 2.716
3.710 3.710 -2.716
ATOMIC_POSITIONS crystal
Li 0.084 0.125 0.459
Li 0.375 0.916 0.041
Li 0.666 0.625 0.541
Li 0.875 0.334 0.959
Hf 0.250 0.750 0.500
Hf 0.500 0.500 0.000
Au 0.000 0.000 0.000
Au 0.750 0.250 0.500



Version y
! Li2HfAu, optimized geometry, DFT PBE; values from VASP
! Total magnetic moment ... 0.00 μB per formula unit
&SYSTEM
  ibrav = 0, nat = 4, ntyp = 3
/
ATOMIC_SPECIES
Li 6.94 Li.upf
Hf 178.49 Hf.upf
Au 196.97 Au.upf
CELL_PARAMETERS angstrom
0.000 3.142 3.142
3.142 0.000 3.142
3.142 3.142 0.000
ATOMIC_POSITIONS crystal
Li 0.250 0.250 0.250
Li 0.750 0.750 0.750
Hf 0.000 0.000 0.000
Au 0.500 0.500 0.500



Which is most stable, and by how much? version y, by 3.7 kJ/mol of atoms.



Version w
! Li2HfAu6, optimized geometry, DFT PBE; values from VASP
! Total magnetic moment ... 0.00 μB per formula unit
&SYSTEM
  ibrav = 0, nat = 9, ntyp = 3
/
ATOMIC_SPECIES
Li 6.94 Li.upf
Hf 178.49 Hf.upf
Au 196.97 Au.upf
CELL_PARAMETERS angstrom
6.290 -3.241 0.000
6.290 3.241 0.000
-0.840 0.000 4.351
ATOMIC_POSITIONS crystal
Li 0.179 0.179 0.167
Li 0.821 0.821 0.833
Hf 0.500 0.500 0.500
Au 0.060 0.604 0.339
Au 0.234 0.766 0.000
Au 0.396 0.940 0.661
Au 0.604 0.060 0.339
Au 0.766 0.234 0.000
Au 0.940 0.396 0.661



Version x
! Li2HfAu6, optimized geometry, DFT PBE; values from VASP
! Total magnetic moment ... 0.00 μB per formula unit
&SYSTEM
  ibrav = 0, nat = 18, ntyp = 3
/
ATOMIC_SPECIES
Li 6.94 Li.upf
Hf 178.49 Hf.upf
Au 196.97 Au.upf
CELL_PARAMETERS angstrom
6.568 -4.856 0.000
6.568 4.856 0.000
-0.777 0.000 4.965
ATOMIC_POSITIONS crystal
Li 0.051 0.291 0.088
Li 0.291 0.051 0.588
Li 0.709 0.949 0.412
Li 0.949 0.709 0.912
Hf 0.369 0.631 0.750
Hf 0.631 0.369 0.250
Au 0.062 0.822 0.478
Au 0.142 0.414 0.662
Au 0.178 0.938 0.022
Au 0.264 0.512 0.198
Au 0.414 0.142 0.162
Au 0.488 0.736 0.302
Au 0.512 0.264 0.698
Au 0.586 0.858 0.838
Au 0.736 0.488 0.802
Au 0.822 0.062 0.978
Au 0.858 0.586 0.338
Au 0.938 0.178 0.522



Which is most stable, and by how much? version x, by 13.6 kJ/mol of atoms.



Version w
! LiHf2Au2, optimized geometry, DFT PBE; values from VASP
! Total magnetic moment ... 0.00 μB per formula unit
&SYSTEM
  ibrav = 0, nat = 10, ntyp = 3
/
ATOMIC_SPECIES
Li 6.94 Li.upf
Hf 178.49 Hf.upf
Au 196.97 Au.upf
CELL_PARAMETERS angstrom
8.268 0.000 0.000
0.000 8.268 0.000
0.000 0.000 3.011
ATOMIC_POSITIONS crystal
Li 0.000 0.000 0.000
Li 0.500 0.500 0.000
Hf 0.156 0.344 0.000
Hf 0.344 0.844 0.000
Hf 0.656 0.156 0.000
Hf 0.844 0.656 0.000
Au 0.141 0.641 0.500
Au 0.359 0.141 0.500
Au 0.641 0.859 0.500
Au 0.859 0.359 0.500



Version x
! LiHf2Au2, optimized geometry, DFT PBE; values from VASP
! Total magnetic moment ... 0.00 μB per formula unit
&SYSTEM
  ibrav = 0, nat = 10, ntyp = 3
/
ATOMIC_SPECIES
Li 6.94 Li.upf
Hf 178.49 Hf.upf
Au 196.97 Au.upf
CELL_PARAMETERS angstrom
7.595 0.000 0.000
0.000 7.595 0.000
0.000 0.000 3.478
ATOMIC_POSITIONS crystal
Li 0.000 0.000 0.000
Li 0.500 0.500 0.000
Hf 0.166 0.334 0.500
Hf 0.334 0.834 0.500
Hf 0.666 0.166 0.500
Hf 0.834 0.666 0.500
Au 0.136 0.636 0.000
Au 0.364 0.136 0.000
Au 0.636 0.864 0.000
Au 0.864 0.364 0.000



Which is most stable, and by how much? version x, by 11.8 kJ/mol of atoms.



Version w
! LiHfAu3, optimized geometry, DFT PBE; values from VASP
! Total magnetic moment ... 0.00 μB per formula unit
&SYSTEM
  ibrav = 0, nat = 5, ntyp = 3
/
ATOMIC_SPECIES
Li 6.94 Li.upf
Hf 178.49 Hf.upf
Au 196.97 Au.upf
CELL_PARAMETERS angstrom
5.258 0.000 0.000
0.000 5.258 0.000
0.000 0.000 5.258
ATOMIC_POSITIONS crystal
Li 0.000 0.000 0.000
Hf 0.500 0.500 0.500
Au 0.000 0.500 0.500
Au 0.500 0.000 0.500
Au 0.500 0.500 0.000



Version x
! LiHfAu3, optimized geometry, DFT PBE; values from VASP
! Total magnetic moment ... 0.08 μB per formula unit
&SYSTEM
  ibrav = 0, nat = 10, ntyp = 3
/
ATOMIC_SPECIES
Li 6.94 Li.upf
Hf 178.49 Hf.upf
Au 196.97 Au.upf
CELL_PARAMETERS angstrom
4.806 -2.075 0.000
4.806 2.075 0.000
-0.777 0.000 8.937
ATOMIC_POSITIONS crystal
Li 0.143 0.143 0.050
Li 0.857 0.857 0.950
Hf 0.349 0.349 0.427
Hf 0.651 0.651 0.573
Au 0.051 0.051 0.349
Au 0.262 0.262 0.760
Au 0.433 0.433 0.132
Au 0.567 0.567 0.868
Au 0.738 0.738 0.240
Au 0.949 0.949 0.651



Which is most stable, and by how much? version x, by 68.7 kJ/mol of atoms.